Record 1
# TbAl11Co

A relaxed TbAl11Co crystal (PBE-GGA, the Alexandria database).

Unit cell a=5.125 b=12.542 c=7.150 alpha=90.00 beta=108.50 gamma=90.00
Space group C2/m (No. 12)
Unique sites:
Tb1 0.000 0.000 0.000 [2 per cell]
Al1 0.000 0.000 0.500 [2 per cell]
Al2 0.108 0.393 0.231 [8 per cell]
Al3 0.189 0.173 0.361 [8 per cell]
Al4 0.250 0.250 0.000 [4 per cell]
Co1 0.000 0.500 0.500 [2 per cell]

Results
As for the volume: 435.85 Å³/cell. Its total energy is -55.52 eV/f.u. Its formation energy from the elements is -0.201 eV/atom.



Record 2
# ZnFeCoRe

A relaxed ZnFeCoRe crystal (PBE-GGA, the Alexandria database).

Unit cell a=5.834 b=5.834 c=5.834 alpha=90.00 beta=90.00 gamma=90.00
Space group F-43m (No. 216)
Unique sites:
Zn1 0.000 0.000 0.000 [4 per cell]
Fe1 0.250 0.250 0.250 [4 per cell]
Co1 0.250 0.250 0.750 [4 per cell]
Re1 0.000 0.000 0.500 [4 per cell]

Results
As for the volume: 198.54 Å³/cell. Its total energy is -28.72 eV/f.u. Its formation energy from the elements is 0.143 eV/atom.



Record 3
# LaTb3PmNd

A relaxed LaTb3PmNd crystal (PBE-GGA, the Alexandria database).

Unit cell a=20.259 b=5.690 c=7.078 alpha=90.00 beta=90.22 gamma=90.00
Space group C2/m (No. 12)
Unique sites:
La1 0.146 0.000 0.038 [4 per cell]
Tb1 0.023 0.000 0.746 [4 per cell]
Tb2 0.164 0.500 0.742 [4 per cell]
Tb3 0.221 0.500 0.248 [4 per cell]
Pm1 0.148 0.000 0.466 [4 per cell]
Nd1 0.055 0.500 0.258 [4 per cell]

Results
As for the volume: 816.03 Å³/cell. Its total energy is -27.29 eV/f.u. Its formation energy from the elements is 0.174 eV/atom.



Record 4
# LiTlRu2

A relaxed LiTlRu2 crystal (PBE-GGA, the Alexandria database).

Unit cell a=3.093 b=4.583 c=8.945 alpha=90.00 beta=90.00 gamma=90.00
Space group Imm2 (No. 44)
Unique sites:
Li1 0.000 0.000 0.000 [2 per cell]
Tl1 0.000 0.500 0.245 [2 per cell]
Ru1 0.000 0.000 0.477 [2 per cell]
Ru2 0.000 0.500 0.744 [2 per cell]

Results
As for the volume: 126.79 Å³/cell. Its total energy is -21.10 eV/f.u. Its formation energy from the elements is 0.432 eV/atom. The calculation puts the relative energy among the computed polymorphs at 0.202 eV per atom.



Record 5
# AgBrCl4

A relaxed AgBrCl4 crystal (PBE-GGA, the Alexandria database).

Unit cell a=4.383 b=8.979 c=12.017 alpha=87.40 beta=81.38 gamma=76.66
Space group P-1 (No. 2)
Unique sites:
Ag1 0.182 0.148 0.249 [2 per cell]
Br1 0.232 0.035 0.749 [2 per cell]
Cl1 0.022 0.670 0.582 [2 per cell]
Cl2 0.099 0.202 0.566 [2 per cell]
Cl3 0.212 0.202 0.930 [2 per cell]
Cl4 0.217 0.329 0.075 [2 per cell]

Results
As for the volume: 455.00 Å³/cell. Its total energy is -12.50 eV/f.u. For the raw formation energy, the calculation gives -0.10 eV per atom. The calculation puts the relative energy among the computed polymorphs at 0.004 eV per atom.



Record 6
# La2TmTlO6

A relaxed La2TmTlO6 crystal (PBE-GGA, the Alexandria database).

Unit cell a=6.0039 b=6.0039 c=15.2572 alpha=90.00 beta=90.00 gamma=120.00
Space group R3 (No. 146, hexagonal axes)
Unique sites:
La1 0.0000 0.0000 0.0000 [3 per cell]
La2 0.0000 0.0000 0.4972 [3 per cell]
Tm1 0.0000 0.0000 0.7216 [3 per cell]
Tl1 0.0000 0.0000 0.2236 [3 per cell]
O1 0.0577 0.7045 0.7847 [9 per cell]
O2 0.0651 0.3686 0.2882 [9 per cell]

Results
As for the volume: 476.30 Å³/cell. Its total energy is -74.19 eV/f.u. For the raw formation energy, the calculation gives -2.78 eV per atom.



Record 7
# Pm4SiSnC

A relaxed Pm4SiSnC crystal (PBE-GGA, the Alexandria database).

Unit cell a=6.928 b=16.025 c=6.933 alpha=90.00 beta=90.00 gamma=90.00
Space group Cmcm (No. 63)
Unique sites:
Pm1 0.000 0.079 0.250 [4 per cell]
Pm2 0.000 0.412 0.250 [4 per cell]
Pm3 0.250 0.250 0.000 [8 per cell]
Si1 0.000 0.117 0.750 [4 per cell]
Sn1 0.000 0.390 0.750 [4 per cell]
C1 0.000 0.248 0.250 [4 per cell]

Results
As for the volume: 769.64 Å³/cell. Its total energy is -40.87 eV/f.u. For the raw formation energy, the calculation gives -0.46 eV per atom.



Record 8
# SmHoAlCd

A relaxed SmHoAlCd crystal (PBE-GGA, the Alexandria database).

Unit cell a=3.657 b=3.657 c=7.598 alpha=90.00 beta=90.00 gamma=90.00
Space group P4mm (No. 99)
Unique sites:
Sm1 0.000 0.000 0.000 [1 per cell]
Ho1 0.000 0.000 0.477 [1 per cell]
Al1 0.500 0.500 0.247 [1 per cell]
Cd1 0.500 0.500 0.725 [1 per cell]

Results
As for the volume: 101.61 Å³/cell. Its total energy is -15.39 eV/f.u. Its formation energy from the elements is -0.359 eV/atom. The calculation puts the relative energy among the computed polymorphs at 0.000 eV per atom.



Record 9
# Be2InPt

A relaxed Be2InPt crystal (PBE-GGA, the Alexandria database).

Unit cell a=3.250 b=2.783 c=6.673 alpha=90.00 beta=102.09 gamma=90.00
Space group P2/m (No. 10)
Unique sites:
Be1 0.074 0.000 0.174 [2 per cell]
In1 0.500 0.500 0.500 [1 per cell]
Pt1 0.500 0.500 0.000 [1 per cell]

Results
As for the volume: 59.02 Å³/cell. Its total energy is -16.90 eV/f.u. Its formation energy from the elements is -0.168 eV/atom.



Record 10
# Ga2SnCl

A relaxed Ga2SnCl crystal (PBE-GGA, the Alexandria database).

Unit cell a=6.084 b=6.084 c=13.813 alpha=90.00 beta=90.00 gamma=90.00
Space group I-42d (No. 122)
Unique sites:
Ga1 0.244 0.250 0.125 [8 per cell]
Sn1 0.000 0.000 0.000 [4 per cell]
Cl1 0.000 0.000 0.500 [4 per cell]

Results
As for the volume: 511.25 Å³/cell. Its total energy is -12.10 eV/f.u. For the raw formation energy, the calculation gives -0.05 eV per atom. The calculation puts the relative energy among the computed polymorphs at 0.125 eV per atom.



Record 11
# SmMnSn2Te5

A relaxed SmMnSn2Te5 crystal (PBE-GGA, the Alexandria database).

Unit cell a=4.357 b=20.366 c=14.137 alpha=90.00 beta=90.00 gamma=90.00
Space group Cmc2_1 (No. 36)
Unique sites:
Sm1 0.000 0.191 0.000 [4 per cell]
Mn1 0.000 0.435 0.402 [4 per cell]
Sn1 0.000 0.076 0.347 [4 per cell]
Sn2 0.000 0.172 0.648 [4 per cell]
Te1 0.000 0.028 0.003 [4 per cell]
Te2 0.000 0.315 0.338 [4 per cell]
Te3 0.000 0.316 0.656 [4 per cell]
Te4 0.000 0.342 0.998 [4 per cell]
Te5 0.000 0.496 0.744 [4 per cell]

Results
As for the volume: 1254.33 Å³/cell. Its total energy is -42.08 eV/f.u. For the raw formation energy, the calculation gives -0.50 eV per atom.



Record 12
# Ti2Hg2F

A relaxed Ti2Hg2F crystal (PBE-GGA, the Alexandria database).

Unit cell a=5.847 b=5.847 c=5.059 alpha=90.00 beta=90.00 gamma=90.00
Space group P4/mbm (No. 127)
Unique sites:
Ti1 0.162 0.338 0.000 [4 per cell]
Hg1 0.171 0.671 0.500 [4 per cell]
F1 0.000 0.000 0.000 [2 per cell]

Results
As for the volume: 172.96 Å³/cell. Its total energy is -21.90 eV/f.u. For the raw formation energy, the calculation gives -0.73 eV per atom.



Number 1: M_tot 0.00 μB per formula unit. Number 2: M_tot 1.99 μB per formula unit. Number 3: M_tot 0.00 μB per formula unit. Number 4: M_tot 0.81 μB per formula unit. Number 5: M_tot 0.00 μB per formula unit. Number 6: M_tot 0.00 μB per formula unit. Number 7: M_tot 0.00 μB per formula unit. Number 8: M_tot 0.00 μB per formula unit. Number 9: M_tot 0.00 μB per formula unit. Number 10: M_tot 0.00 μB per formula unit. Number 11: M_tot 4.12 μB per formula unit. Number 12: M_tot 0.01 μB per formula unit.